Entry 1:
## Ta14TiNb (PBE-GGA)

Data for Ta14TiNb after structural relaxation.

The calculated formation energy comes out at 0.009 eV/atom. The calculation puts the size of the total moment at 0.00 μB/cell. As for the raw total energy: -11.48 eV per atom.

The space group is Cmmm (No. 65) and the conventional cell measures 6.640, 9.380 and 9.369 Å, with angles of 90.00, 90.00 and 90.00 degrees. The inequivalent atoms are Ta at (0.000, 0.000, 0.000), Ta at (0.000, 0.246, 0.251), Ta at (0.000, 0.500, 0.000), Ta at (0.246, 0.500, 0.251), Ta at (0.250, 0.250, 0.000), Ta at (0.250, 0.250, 0.500), Ti at (0.000, 0.000, 0.500) and Nb at (0.000, 0.500, 0.500).

=====

Entry 2:
## TaTi2Nb (PBE-GGA)

Data for TaTi2Nb after structural relaxation.

The calculated formation energy comes out at 0.524 eV/atom. The calculation puts the size of the total moment at 0.00 μB/cell. As for the raw total energy: -8.90 eV per atom.

The space group is I-42d (No. 122) and the conventional cell measures 7.234, 7.234 and 5.557 Å, with angles of 90.00, 90.00 and 90.00 degrees. The inequivalent atoms are Ta at (0.000, 0.000, 0.000), Ti at (0.247, 0.750, 0.625) and Nb at (0.000, 0.000, 0.500).

=====

Entry 3:
## Ta2Ti2Nb5 (PBE-GGA)

Data for Ta2Ti2Nb5 after structural relaxation.

The calculated formation energy comes out at 0.001 eV/atom. The calculation puts the size of the total moment at 0.00 μB/cell. As for the raw total energy: -9.98 eV per atom.

The space group is P-1 (No. 2) and the conventional cell measures 2.841, 7.213 and 8.107 Å, with angles of 79.42, 89.54 and 82.02 degrees. The inequivalent atoms are Ta at (0.071, 0.328, 0.276), Ti at (0.200, 0.001, 0.834), Nb at (0.300, 0.667, 0.387), Nb at (0.405, 0.334, 0.943) and Nb at (0.500, 0.000, 0.500).

=====

Entry 4:
## TaTi8Nb2 (PBE-GGA)

Data for TaTi8Nb2 after structural relaxation.

As for the polymorph energy (0 for the lowest one): 13.8 kJ/mol of atoms. The calculated formation energy comes out at 0.204 eV/atom. The calculation puts the size of the total moment at 0.00 μB/cell. As for the raw total energy: -8.45 eV per atom.

The space group is C2/m (No. 12) and the conventional cell measures 7.154, 13.101 and 4.942 Å, with angles of 90.00, 122.36 and 90.00 degrees. The inequivalent atoms are Ta at (0.000, 0.000, 0.000), Ti at (0.000, 0.207, 0.000), Ti at (0.076, 0.500, 0.787), Ti at (0.215, 0.112, 0.675) and Nb at (0.000, 0.303, 0.500).

=====

Entry 5:
## TaTi2Nb (PBE-GGA)

Data for TaTi2Nb after structural relaxation.

The calculated formation energy comes out at 0.080 eV/atom. The calculation puts the size of the total moment at 0.00 μB/cell. As for the raw total energy: -9.35 eV per atom.

The space group is P4/mmm (No. 123) and the conventional cell measures 3.265, 3.265 and 6.548 Å, with angles of 90.00, 90.00 and 90.00 degrees. The inequivalent atoms are Ta at (0.000, 0.000, 0.000), Ti at (0.500, 0.500, 0.252) and Nb at (0.000, 0.000, 0.500).

=====

Entry 6:
## Ta5TiNb4 (PBE-GGA)

Data for Ta5TiNb4 after structural relaxation.

The calculated formation energy comes out at 0.009 eV/atom. The calculation puts the size of the total moment at 0.00 μB/cell. As for the raw total energy: -10.73 eV per atom.

The space group is P-1 (No. 2) and the conventional cell measures 4.680, 5.743 and 7.210 Å, with angles of 97.85, 108.87 and 90.06 degrees. The inequivalent atoms are Ta at (0.000, 0.000, 0.000), Ta at (0.199, 0.399, 0.399), Ta at (0.403, 0.793, 0.804), Ti at (0.000, 0.500, 0.000), Nb at (0.198, 0.896, 0.398) and Nb at (0.401, 0.297, 0.799).

=====

Entry 7:
## Ta3Ti3Nb2 (PBE-GGA)

Data for Ta3Ti3Nb2 after structural relaxation.

The calculated formation energy comes out at 0.266 eV/atom. The calculation puts the size of the total moment at 0.00 μB/cell. As for the raw total energy: -9.66 eV per atom.

The space group is Cmcm (No. 63) and the conventional cell measures 4.867, 10.117 and 11.979 Å, with angles of 90.00, 90.00 and 90.00 degrees. The inequivalent atoms are Ta at (0.000, 0.086, 0.096), Ta at (0.000, 0.284, 0.250), Ti at (0.000, 0.368, 0.031), Ti at (0.000, 0.442, 0.750) and Nb at (0.000, 0.185, 0.636).

=====

Entry 8:
## TaTi14Nb (PBE-GGA)

Data for TaTi14Nb after structural relaxation.

The calculated formation energy comes out at 0.059 eV/atom. The calculation puts the size of the total moment at 0.00 μB/cell. As for the raw total energy: -8.22 eV per atom.

The space group is Amm2 (No. 38) and the conventional cell measures 9.056, 9.191 and 6.660 Å, with angles of 90.00, 90.00 and 90.00 degrees. The inequivalent atoms are Ta at (0.000, 0.000, 0.000), Ti at (0.000, 0.240, 0.262), Ti at (0.231, 0.000, 0.287), Ti at (0.255, 0.223, 0.004), Ti at (0.263, 0.000, 0.723), Ti at (0.500, 0.000, 0.012), Ti at (0.500, 0.000, 0.428), Ti at (0.500, 0.215, 0.731) and Nb at (0.000, 0.000, 0.530).

=====

Entry 9:
## Ta6TiNb (PBE-GGA)

Data for Ta6TiNb after structural relaxation.

As for the polymorph energy (0 for the lowest one): 0.0 kJ/mol of atoms. The calculated formation energy comes out at 0.023 eV/atom. The calculation puts the size of the total moment at 0.00 μB/cell. As for the raw total energy: -11.11 eV per atom.

The space group is Amm2 (No. 38) and the conventional cell measures 3.311, 9.361 and 9.352 Å, with angles of 90.00, 90.00 and 90.00 degrees. The inequivalent atoms are Ta at (0.000, 0.000, 0.000), Ta at (0.000, 0.249, 0.751), Ta at (0.500, 0.000, 0.750), Ta at (0.500, 0.250, 0.001), Ti at (0.500, 0.000, 0.252) and Nb at (0.000, 0.000, 0.501).

=====

Entry 10:
## TaTi5Nb4 (PBE-GGA)

Data for TaTi5Nb4 after structural relaxation.

The calculated formation energy comes out at 0.306 eV/atom. The calculation puts the size of the total moment at 0.00 μB/cell. As for the raw total energy: -8.85 eV per atom.

The space group is C2/m (No. 12) and the conventional cell measures 12.329, 4.778 and 7.134 Å, with angles of 90.00, 116.57 and 90.00 degrees. The inequivalent atoms are Ta at (0.000, 0.000, 0.000), Ti at (0.000, 0.000, 0.500), Ti at (0.134, 0.500, 0.162), Ti at (0.229, 0.500, 0.626), Nb at (0.036, 0.500, 0.724) and Nb at (0.187, 0.000, 0.919).

=====

Entry 11:
## Ta5Ti3Nb2 (PBE-GGA)

Data for Ta5Ti3Nb2 after structural relaxation.

The calculated formation energy comes out at 0.336 eV/atom. The calculation puts the size of the total moment at 0.00 μB/cell. As for the raw total energy: -9.97 eV per atom.

The space group is C2/c (No. 15) and the conventional cell measures 9.399, 11.839 and 7.986 Å, with angles of 90.00, 123.18 and 90.00 degrees. The inequivalent atoms are Ta at (0.000, 0.008, 0.250), Ta at (0.000, 0.240, 0.250), Ta at (0.000, 0.489, 0.750), Ta at (0.244, 0.124, 0.732), Ti at (0.000, 0.258, 0.750), Ti at (0.169, 0.376, 0.572) and Nb at (0.178, 0.130, 0.068).

=====

Entry 12:
## Ta2TiNb8 (PBE-GGA)

Data for Ta2TiNb8 after structural relaxation.

The calculated formation energy comes out at -0.009 eV/atom. The calculation puts the size of the total moment at 0.00 μB/cell. As for the raw total energy: -10.21 eV per atom.

The space group is P-1 (No. 2) and the conventional cell measures 4.694, 7.184 and 7.187 Å, with angles of 62.08, 71.04 and 89.97 degrees. The inequivalent atoms are Ta at (0.230, 0.139, 0.040), Ti at (0.500, 0.500, 0.500), Nb at (0.044, 0.229, 0.414), Nb at (0.136, 0.680, 0.227), Nb at (0.318, 0.594, 0.864) and Nb at (0.408, 0.043, 0.684).